4
Lattice="0.000 3.449 3.449 3.449 0.000 3.449 3.449 3.449 0.000" Properties=species:S:1:pos:R:3 comment="CaThNi2 | the Alexandria database | PBE | relaxed" magnetic_moment_mub_per_fu=0.00 e_form_mev_per_atom=-177 spacegroup="Fm-3m (225)" polymorph_energy_mev_per_atom=75 pbc="T T T"
Ca 0.000 0.000 0.000
Th 3.449 3.449 3.449
Ni 1.725 1.725 1.725
Ni 5.174 5.174 5.174

5
Lattice="4.963 0.000 0.000 0.000 4.963 0.000 0.000 0.000 5.022" Properties=species:S:1:pos:R:3 comment="ZrRe2GeSb | the Alexandria database | PBE | relaxed" magnetic_moment_mub_per_fu=2.75 spacegroup="P4/mmm (123)" formation_energy_uncorrected_ev_per_atom=1.895 pbc="T T T"
Zr 0.000 0.000 0.000
Re 0.000 2.481 0.000
Re 2.481 0.000 0.000
Ge 0.000 0.000 2.511
Sb 2.481 2.481 2.511

4
Lattice="1.785 -2.563 0.000 1.785 2.563 0.000 0.000 0.000 9.390" Properties=species:S:1:pos:R:3 comment="ZrIn2Mo | the Alexandria database | PBE | relaxed" magnetic_moment_mub_per_fu=0.00 e_form_mev_per_atom=153 spacegroup="Cmm2 (35)" polymorph_energy_mev_per_atom=117 pbc="T T T"
Zr 0.000 0.000 0.000
In 0.000 0.000 5.140
In 1.785 0.000 2.533
Mo 1.785 0.000 7.341

18
Lattice="7.897 0.000 0.000 0.000 10.979 0.000 -5.887 0.000 9.726" Properties=species:S:1:pos:R:3 comment="Ba6In2Br | the Alexandria database | PBE | relaxed" magnetic_moment_mub_per_fu=0.00 spacegroup="P2_1/c (14)" formation_energy_uncorrected_ev_per_atom=-0.521 pbc="T T T"
Ba -1.845 1.485 4.385
Ba -4.789 4.005 9.248
Ba -0.145 7.950 4.166
Ba -3.088 8.519 9.029
Ba 1.559 0.575 1.618
Ba -1.384 4.915 6.481
Ba 3.395 6.064 3.245
Ba 0.451 10.405 8.108
Ba 5.099 2.461 0.697
Ba 2.155 3.029 5.559
Ba 6.799 6.975 0.478
Ba 3.856 9.494 5.341
In -3.080 1.140 7.797
In -0.136 4.349 2.934
In 2.146 6.630 6.791
In 5.090 9.839 1.928
Br 1.005 0.000 4.863
Br 3.948 5.490 0.000

| no. | DOS(E_F) (states/eV per atom) | density (g/cm3) | V (Å³/cell) |
| --- | --- | --- | --- |
| 1 | 1.21 | 7.88 | 82.09 |
| 2 | 1.10 | 8.83 | 123.69 |
| 3 | 0.52 | 8.06 | 85.89 |
| 4 | 1.11 | 4.46 | 843.25 |